RbTmIn: relaxed, PBE.

Computed properties:
M_tot: 0.1 μB per formula unit
V: 123.21 Å³ per cell
Space group: F-43m, No. 216
Distance to the lowest polymorph of the same formula: 0.000 eV per atom

abc: 5.585 5.585 5.585
angles: 60.00 60.00 60.00
Fractional positions:
In 0.000 0.000 0.000
Rb 0.250 0.250 0.250
Tm 0.750 0.750 0.750